{"formula": "Tb2CuSe3", "functional": "PBE", "state": "relaxed", "lattice_angstrom": [[-1.9061, 2.2438, 8.0854], [1.9061, -2.2438, 8.0854], [1.9061, 2.2438, -8.0854]], "species": ["Tb", "Tb", "Cu", "Se", "Se", "Se"], "frac_coords": [[0.1397, 0.1397, 0.0000], [0.8603, 0.8603, 0.0000], [0.5000, 0.5000, 0.0000], [0.0000, 0.5000, 0.5000], [0.3221, 0.3221, 0.0000], [0.6779, 0.6779, 0.0000]], "raw_formation_energy_ev_per_atom": -1.33, "spacegroup": "Immm (71)", "dos_at_fermi_per_ev_cell": 1.0, "dft_energy_ev_per_atom": -5.295}